No. 1
Material: Sr3CaAl8
Method: DFT, PBEsol
State: optimized geometry Values from VASP.

```
&SYSTEM
  ibrav = 0, nat = 12, ntyp = 3
/
ATOMIC_SPECIES
Al 26.98 Al.upf
Sr 87.62 Sr.upf
Ca 40.08 Ca.upf
CELL_PARAMETERS angstrom
5.761 0.000 0.000
2.880 4.989 0.000
2.880 1.663 9.381
ATOMIC_POSITIONS crystal
Al 0.750 0.750 0.750
Al 0.499 0.499 0.003
Al 0.001 0.001 0.497
Al 0.999 0.499 0.003
Al 0.499 0.999 0.003
Al 0.502 0.001 0.497
Al 0.250 0.250 0.250
Al 0.001 0.502 0.497
Sr 0.563 0.563 0.312
Sr 0.062 0.062 0.814
Sr 0.438 0.438 0.687
Ca 0.938 0.938 0.187
```

Computed properties:
Energy of formation ... -282 meV/atom

---

No. 2
Material: AgPCl4
Method: DFT, PBEsol
State: optimized geometry Values from VASP.

```
&SYSTEM
  ibrav = 0, nat = 6, ntyp = 3
/
ATOMIC_SPECIES
P 30.97 P.upf
Cl 35.45 Cl.upf
Ag 107.87 Ag.upf
CELL_PARAMETERS angstrom
5.597 0.000 0.000
2.798 4.847 0.000
2.798 1.616 4.570
ATOMIC_POSITIONS crystal
P 0.750 0.750 0.750
Cl 0.375 0.876 0.375
Cl 0.876 0.375 0.375
Cl 0.375 0.375 0.375
Cl 0.375 0.375 0.876
Ag 0.000 0.000 0.000
```

Computed properties:
Energy ... -1.880 eV per atom

---

No. 3
Material: Sr2FeO3F
Method: DFT, PBEsol
State: optimized geometry Values from VASP.

```
&SYSTEM
  ibrav = 0, nat = 14, ntyp = 4
/
ATOMIC_SPECIES
O 16.00 O.upf
Sr 87.62 Sr.upf
F 19.00 F.upf
Fe 55.84 Fe.upf
CELL_PARAMETERS angstrom
3.804 0.000 0.000
0.000 3.804 0.000
0.000 0.000 13.173
ATOMIC_POSITIONS crystal
O 0.000 0.000 0.252
O 0.500 0.500 0.252
O 0.500 0.000 0.082
O 0.500 0.500 0.748
O 0.000 0.000 0.748
O 0.000 0.500 0.918
Sr 0.000 0.500 0.377
Sr 0.000 0.500 0.104
Sr 0.500 0.000 0.623
Sr 0.500 0.000 0.896
F 0.000 0.500 0.564
F 0.500 0.000 0.436
Fe 0.000 0.500 0.771
Fe 0.500 0.000 0.229
```

Computed properties:
Energy ... -6.880 eV per atom

---

For the records above, the corresponding ρ values read 3.2, 3.8, 5.2 Mg/m³.
For the records above, the corresponding spin magnetization values read 0.000, 1.676, 4.203 μB/f.u..